Computed, not measured: an optimized crystal structure of NaAgMo3 at the PBE level of DFT. Values from VASP.

Summary:
space group: Pm-3m
M_tot: 0.00 Bohr magnetons per cell
ΔH_f (0 K): 13.0 eV/f.u.

```
&SYSTEM
  ibrav = 0, nat = 5, ntyp = 3
/
ATOMIC_SPECIES
Na 22.99 Na.upf
Mo 95.94 Mo.upf
Ag 107.87 Ag.upf
CELL_PARAMETERS angstrom
-0.5153 -4.3585 1.1264
1.1206 -1.2222 -4.2168
4.3600 -0.2010 1.2169
ATOMIC_POSITIONS crystal
Na 0.0000 0.0000 0.0000
Mo 0.0000 0.5000 0.0000
Mo 0.0000 0.0000 0.5000
Mo 0.5000 0.0000 0.0000
Ag 0.5000 0.5000 0.5000
```

---

Computed, not measured: an optimized crystal structure of NaAg3Mo at the PBE level of DFT. Values from VASP.

Summary:
space group: Pm-3m
M_tot: 0.00 Bohr magnetons per cell
ΔH_f (0 K): 5.8 eV/f.u.

```
&SYSTEM
  ibrav = 0, nat = 5, ntyp = 3
/
ATOMIC_SPECIES
Na 22.99 Na.upf
Mo 95.94 Mo.upf
Ag 107.87 Ag.upf
CELL_PARAMETERS angstrom
5.1599 0.0000 0.0000
0.0000 5.1599 0.0000
0.0000 0.0000 5.1599
ATOMIC_POSITIONS crystal
Na 0.5000 0.5000 0.5000
Mo 0.0000 0.0000 0.0000
Ag 0.0000 0.5000 0.0000
Ag 0.0000 0.0000 0.5000
Ag 0.5000 0.0000 0.0000
```